Tb4Er8Tm | the Alexandria database | PBE-GGA | relaxed; formation enthalpy at 0 K = 0.227 eV per atom; size of the total moment = 0.0 μB per cell; total DFT energy (no corrections) = -4.35 eV per atom
1.0
3.6081 2.0831 9.0219
-3.6081 2.0831 9.0219
0.0000 -4.1663 9.0219
Tb Er Tm
4 8 1
Direct
0.0000 0.0000 0.0000
0.0000 0.5000 0.5000
0.5000 0.0000 0.5000
0.5000 0.5000 0.0000
0.1972 0.7502 0.7502
0.2152 0.2152 0.2152
0.2498 0.2498 0.8028
0.2498 0.8028 0.2498
0.7502 0.1972 0.7502
0.7502 0.7502 0.1972
0.7848 0.7848 0.7848
0.8028 0.2498 0.2498
0.5000 0.5000 0.5000